This record from the Alexandria database describes a geometry-optimized LiSn2P3O10 structure. The functional is GGA-PBEsol.

N(E_F)	0.000	states/eV per atom
magnetization	0.0	μB per formula unit
energy relative to the elements, uncorrected	-1.9999	eV/atom
total DFT energy (no corrections)	-112.4	eV/f.u.

Geometry as CIF:
```
data_LiSn2P3O10
_chemical_formula_sum 'Li4 Sn8 P12 O40'
_symmetry_space_group_name_H-M 'C 1 2/c 1'
_symmetry_Int_Tables_number 15
_cell_length_a 11.9603
_cell_length_b 9.9677
_cell_length_c 10.1233
_cell_angle_alpha 90.00
_cell_angle_beta 122.16
_cell_angle_gamma 90.00
loop_
_symmetry_equiv_pos_as_xyz
'x,y,z'
'-x,-y,-z'
'-x,y,-z+1/2'
'x,-y,z+1/2'
'x+1/2,y+1/2,z'
'-x+1/2,-y+1/2,-z'
'-x+1/2,y+1/2,-z+1/2'
'x+1/2,-y+1/2,z+1/2'
loop_
_atom_site_label
_atom_site_type_symbol
_atom_site_fract_x
_atom_site_fract_y
_atom_site_fract_z
_atom_site_occupancy
Li1 Li 0.0000 0.1900 0.2500 1
Sn1 Sn 0.1723 0.4529 0.1041 1
P1 P 0.0000 0.0804 0.7500 1
P2 P 0.1171 0.2408 0.6074 1
O1 O 0.0016 0.1774 0.8743 1
O2 O 0.0497 0.2745 0.4370 1
O3 O 0.1225 0.0069 0.3283 1
O4 O 0.1654 0.3663 0.7128 1
O5 O 0.2248 0.1335 0.6680 1
```